! PBE ZrCr2Fe, optimized geometry; values from VASP
! - energy above the lowest structure with this stoichiometry (eV/f.u.) = 2.76
! - space group = I4_1/amd, No. 141
! - total moment (μB/f.u.) = 0.1
! - calculated volume (Å³/atom) = 17.12
&SYSTEM
  ibrav = 0, nat = 8, ntyp = 3
/
ATOMIC_SPECIES
Zr 91.22 Zr.upf
Cr 52.00 Cr.upf
Fe 55.84 Fe.upf
CELL_PARAMETERS angstrom
-2.102 2.102 7.751
2.102 -2.102 7.751
2.102 2.102 -7.751
ATOMIC_POSITIONS crystal
Zr 0.375 0.625 0.750
Zr 0.625 0.375 0.250
Cr 0.000 0.000 0.000
Cr 0.000 0.000 0.500
Cr 0.000 0.500 0.000
Cr 0.500 0.000 0.500
Fe 0.125 0.875 0.250
Fe 0.875 0.125 0.750